# Sm2DyHoTm2 (GGA-PBE, optimized geometry)
data_Sm2DyHoTm2
_space_group_name_H-M_alt 'P 1'
_space_group_IT_number 1
_space_group_name_Hall 'P 1'
_cell_length_a 5.599
_cell_length_b 9.671
_cell_length_c 6.998
_cell_angle_alpha 90.00
_cell_angle_beta 90.00
_cell_angle_gamma 90.00
loop_
_atom_site_label
_atom_site_type_symbol
_atom_site_fract_x
_atom_site_fract_y
_atom_site_fract_z
Sm1 Sm 0.500 0.167 0.250
Sm2 Sm 0.000 0.667 0.250
Sm3 Sm 0.500 0.833 0.750
Sm4 Sm 0.000 0.333 0.750
Tm1 Tm 0.500 0.833 0.250
Tm2 Tm 0.000 0.667 0.750
Tm3 Tm 0.500 0.167 0.750
Tm4 Tm 0.000 0.333 0.250
Ho1 Ho 0.500 0.500 0.500
Ho2 Ho 0.000 0.000 0.000
Dy1 Dy 0.500 0.500 0.000
Dy2 Dy 0.000 0.000 0.500
# Space group ... Pnnm (58)
# Formation energy ... 69.2 meV per atom
# E_tot ... -54.29 eV for the cell shown